(1)
The following is a DFT calculation (PBE) of crystalline LiCeTlRu at its relaxed geometry.

Cell lengths 4.8207, 4.8207, 4.8207 Å; angles 60.00, 60.00, 60.00 degrees
Closest atoms and distances in Å follow each position.
Atoms (fractional coordinates):
1 Li 0.0000 0.0000 0.0000  4 Ce 2.95, 4 Tl 2.95
2 Ce 0.7500 0.7500 0.7500  4 Li 2.95, 4 Ru 2.95
3 Tl 0.2500 0.2500 0.2500  4 Li 2.95, 4 Ru 2.95
4 Ru 0.5000 0.5000 0.5000  4 Tl 2.95, 4 Ce 2.95

Computed properties:
Energy relative to the elements, eV/atom: -0.0984
Raw total energy, eV per atom: -4.97
Space group: No. 216



(2)
The following is a DFT calculation (PBE) of crystalline LiCeYRu at its relaxed geometry.

Cell lengths 4.9550, 4.9550, 4.9550 Å; angles 60.00, 60.00, 60.00 degrees
Closest atoms and distances in Å follow each position.
Atoms (fractional coordinates):
1 Li 0.0000 0.0000 0.0000  4 Ce 3.03, 4 Y 3.03
2 Ce 0.7500 0.7500 0.7500  4 Ru 3.03, 4 Li 3.03
3 Y 0.2500 0.2500 0.2500  4 Li 3.03, 4 Ru 3.03
4 Ru 0.5000 0.5000 0.5000  4 Ce 3.03, 4 Y 3.03

Computed properties:
Energy relative to the elements, eV/atom: -0.1628
Raw total energy, eV per atom: -6.06
Space group: No. 216



(3)
The following is a DFT calculation (PBE) of crystalline LiCe4S7 at its relaxed geometry.

Cell lengths 6.7406, 6.7406, 11.5911 Å; angles 105.05, 105.05, 34.03 degrees
Closest atoms and distances in Å follow each position.
Atoms (fractional coordinates):
1 Li 0.0000 0.0000 0.0000  6 S 2.63-2.81
2 Ce 0.1198 0.1198 0.4202  6 S 2.69-2.81
3 Ce 0.2321 0.2321 0.8667  6 S 2.71-2.84
4 Ce 0.4280 0.4280 0.6369  7 S 2.79-3.11
5 Ce 0.8114 0.8114 0.2222  6 S 2.79-3.00
6 S 0.0819 0.0819 0.6426  4 Ce 2.75-2.79
7 S 0.1544 0.1544 0.2018  1 Li 2.63, 3 Ce 2.69-2.79
8 S 0.3820 0.3820 0.0815  3 Ce 2.71-2.86, 2 Li 2.81
9 S 0.4592 0.4592 0.3799  5 Ce 2.81-3.11
10 S 0.6072 0.6072 0.9177  2 Ce 2.71, 2 Li 2.72
11 S 0.7796 0.7796 0.4806  5 Ce 2.80-3.13
12 S 0.8543 0.8543 0.7849  1 Li 2.68, 4 Ce 2.84-2.94

Computed properties:
Formation energy from raw total energies, meV per atom: -1847.1
Raw total energy, eV per atom: -6.39
Space group: No. 8